This record from Alexandria via LeMat-Bulk describes a geometry-optimized CrBPbO4 structure. The functional is PBE with a Hubbard U.

It has space group Pnma (No. 62), with a = 7.263 Å, b = 6.090 Å, c = 8.135 Å, α = 90.00°, β = 90.00° and γ = 90.00°. The inequivalent atoms are Cr at (0.000, 0.000, 0.000), B at (0.223, 0.250, 0.267), Pb at (0.078, 0.750, 0.366), O at (0.100, 0.250, 0.875), O at (0.168, 0.053, 0.197) and O at (0.169, 0.750, 0.908).

For the volume, the calculation gives 359.8 Å³ per cell. The total magnetic moment comes out at 12.00 Bohr magnetons per cell. The calculation puts the energy relative to the lowest polymorph listed for this composition at 0 meV/atom. The calculation puts the total DFT energy (no corrections) at -51.39 eV per formula unit.